No. 1
Material: Sr2Ge3Au2
Method: DFT, GGA-PBE
State: relaxed

Output
Energy of formation: -0.464 eV/atom
Crystal system: monoclinic
Distance to the lowest polymorph of the same formula: 0.59 eV per formula unit

Cell: 10.8764 4.6163 6.9447 Å, 90.00 107.01 90.00°
Last column: nearest neighbours and their distance in Å.
Space group C2/m (No. 12)
One atom of each set of equivalent atoms:
Sr (0.1520, 0.0000, 0.2854) [4 per cell]  5 Au 3.17-3.51, 7 Ge 3.30-3.55
Ge (0.0000, 0.5000, 0.5000) [2 per cell]  2 Ge 2.86, 4 Au 3.14
Ge (0.0981, 0.5000, 0.9303) [4 per cell]  2 Ge 2.59-2.86, 3 Au 2.66-2.90
Au (0.1492, 0.0000, 0.7790) [4 per cell]  3 Ge 2.66-2.90

---

No. 2
Material: NbZnFe2
Method: DFT, GGA-PBE
State: relaxed

Output
Energy of formation: 0.544 eV/atom
Crystal system: tetragonal

Cell: 6.7441 6.7441 5.2435 Å, 90.00 90.00 90.00°
Last column: nearest neighbours and their distance in Å.
Space group I-42d (No. 122)
One atom of each set of equivalent atoms:
Nb (0.0000, 0.0000, 0.0000) [4 per cell]  4 Fe 2.49, 2 Zn 2.62
Zn (0.0000, 0.0000, 0.5000) [4 per cell]  4 Fe 2.46, 2 Nb 2.62
Fe (0.2467, 0.2500, 0.6250) [8 per cell]  2 Zn 2.46, 2 Nb 2.49, 2 Fe 2.62